# 1
First-principles (GGA-PBE) data for crystalline SiPdSe2N at its relaxed geometry, as listed in the Alexandria database.

Symmetry = P4/mmm (123)

a b c (Å): 5.160 5.160 3.702
angles (deg): 90.00 90.00 90.00
Positions (direct):
Si: 0.000 0.000 0.000
Pd: 0.500 0.500 0.500
Se: 0.000 0.500 0.500
Se: 0.500 0.000 0.500
N: 0.500 0.500 0.000


# 2
First-principles (GGA-PBE) data for crystalline SnPdSe2N at its relaxed geometry, as listed in the Alexandria database.

Symmetry = P4/mmm (123)

a b c (Å): 5.351 5.351 3.904
angles (deg): 90.00 90.00 90.00
Positions (direct):
Sn: 0.000 0.000 0.000
Pd: 0.500 0.500 0.500
Se: 0.000 0.500 0.000
Se: 0.500 0.000 0.000
N: 0.000 0.000 0.500


# 3
First-principles (GGA-PBE) data for crystalline SnPdSe2N at its relaxed geometry, as listed in the Alexandria database.

Symmetry = P4/mmm (123)

a b c (Å): 5.263 5.263 3.758
angles (deg): 90.00 90.00 90.00
Positions (direct):
Sn: 0.000 0.000 0.000
Pd: 0.500 0.500 0.500
Se: 0.000 0.500 0.500
Se: 0.500 0.000 0.500
N: 0.500 0.500 0.000


It is found that the uncorrected formation energy values, taken in the order of the records, are 0.880; 1.016; 0.483 eV/atom.
It is found that the energy relative to the lowest polymorph listed for this composition values, taken in the order of the records, are 607; 533; 0 meV per atom.
It is found that the raw total energy values, taken in the order of the records, are -0.1581; -0.1427; -0.1623 Ha/atom.